No. 1
Entry from Alexandria via LeMat-Bulk: a relaxed structure of ScRhW2 (GGA-PBE).

a b c (Å): 5.145 5.366 2.800
angles (deg): 80.86 77.70 115.08
Positions (direct):
1 W 0.500 0.000 0.500
2 W 0.000 0.000 0.000
3 Rh 0.000 0.500 0.500
4 Sc 0.500 0.500 0.000

Properties
N(E_F): 2.4 states/eV per cell
ΔH_f (0 K): -1.31 kJ per mole of atoms
E: -39.6 eV/cell

***

No. 2
Entry from Alexandria via LeMat-Bulk: a relaxed structure of ScRhW2 (GGA-PBE).

a b c (Å): 2.825 2.825 8.374
angles (deg): 90.00 90.00 90.00
Positions (direct):
1 W 0.500 0.500 0.273
2 W 0.000 0.000 0.011
3 Rh 0.000 0.000 0.486
4 Sc 0.500 0.500 0.730

Properties
N(E_F): 3.8 states/eV per cell
ΔH_f (0 K): -1.22 kJ per mole of atoms
E: -39.6 eV/cell

***

No. 3
Entry from Alexandria via LeMat-Bulk: a relaxed structure of Sc2RhW (GGA-PBE).

a b c (Å): 5.266 5.568 2.918
angles (deg): 81.12 78.73 119.07
Positions (direct):
1 Rh 0.500 0.000 0.500
2 W 0.500 0.500 0.000
3 Sc 0.000 0.500 0.500
4 Sc 0.000 0.000 0.000

Properties
N(E_F): 4.3 states/eV per cell
ΔH_f (0 K): -7.01 kJ per mole of atoms
E: -33.3 eV/cell

***

> Which of these has the highest N(E_F)?

Sc2RhW

***

> The highest N(E_F) belongs to which entry?

Sc2RhW